(1)
Compound: TaTi3W
Source: the Alexandria database
Functional: GGA-PBE
Structure: relaxed

The energy above the most stable polymorph in this dataset is 1510 meV per atom. The final energy comes out at -40.91 eV per formula unit. The total moment comes out at 0.0 μB per formula unit. As for the formation energy: 1516 meV per atom.

The structure belongs to space group Pm-3m (No. 221); the cell edges are 4.6635, 4.6635 and 4.6635 Å and the angles 90.00°, 90.00° and 90.00°. The distinct sites, in fractional coordinates, are Ta at (0.0000, 0.0000, 0.0000), Ti at (0.0000, 0.0000, 0.5000) and W at (0.5000, 0.5000, 0.5000).

=====

(2)
Compound: SrTaMn2
Source: the Alexandria database
Functional: GGA-PBE
Structure: relaxed

The energy above the most stable polymorph in this dataset is 0 meV per atom. The final energy comes out at -30.38 eV per formula unit. The total moment comes out at 5.2 μB per formula unit. As for the formation energy: 373 meV per atom.

The structure belongs to space group P4/mmm (No. 123); the cell edges are 3.2997, 3.2997 and 7.5368 Å and the angles 90.00°, 90.00° and 90.00°. The distinct sites, in fractional coordinates, are Sr at (0.0000, 0.0000, 0.0000), Ta at (0.0000, 0.0000, 0.5000) and Mn at (0.5000, 0.5000, 0.3260).

=====

(3)
Compound: Sb2SeI
Source: the Alexandria database
Functional: GGA-PBE
Structure: relaxed

The energy above the most stable polymorph in this dataset is 0 meV per atom. The final energy comes out at -12.55 eV per formula unit. For the formation energy without anion corrections, the calculation gives 0.182 eV/atom. The total moment comes out at 0.0 μB per formula unit.

The structure belongs to space group I-42d (No. 122); the cell edges are 8.2792, 8.2792 and 7.2358 Å and the angles 90.00°, 90.00° and 90.00°. The distinct sites, in fractional coordinates, are Sb at (0.2188, 0.2500, 0.1250), Se at (0.0000, 0.0000, 0.0000) and I at (0.0000, 0.0000, 0.5000).

=====

(4)
Compound: Np2VS5
Source: the Alexandria database
Functional: GGA-PBE
Structure: relaxed

The energy above the most stable polymorph in this dataset is 91 meV per atom. The final energy comes out at -64.57 eV per formula unit. For the formation energy without anion corrections, the calculation gives -1.117 eV/atom. The total moment comes out at 9.0 μB per formula unit.

The structure belongs to space group Cmcm (No. 63); the cell edges are 5.2553, 12.5959 and 12.0584 Å and the angles 90.00°, 90.00° and 90.00°. The distinct sites, in fractional coordinates, are Np at (0.0000, 0.1487, 0.0671), V at (0.0000, 0.1992, 0.7500), S at (0.0000, 0.0520, 0.6251), S at (0.0000, 0.2733, 0.2500) and S at (0.0000, 0.3171, 0.5813).

=====

(5)
Compound: NaCd2Sb2
Source: the Alexandria database
Functional: GGA-PBE
Structure: relaxed

The energy above the most stable polymorph in this dataset is 108 meV per atom. The final energy comes out at -11.63 eV per formula unit. For the formation energy without anion corrections, the calculation gives -0.048 eV/atom. The total moment comes out at 0.0 μB per formula unit.

The structure belongs to space group P4/mbm (No. 127); the cell edges are 8.5111, 8.5111 and 3.7083 Å and the angles 90.00°, 90.00° and 90.00°. The distinct sites, in fractional coordinates, are Na at (0.0000, 0.0000, 0.0000), Cd at (0.1266, 0.3734, 0.0000) and Sb at (0.1738, 0.6738, 0.5000).

=====

(6)
Compound: Y2ZrCo
Source: the Alexandria database
Functional: GGA-PBE
Structure: relaxed

The energy above the most stable polymorph in this dataset is 469 meV per atom. The final energy comes out at -27.19 eV per formula unit. The total moment comes out at 1.4 μB per formula unit. As for the formation energy: 349 meV per atom.

The structure belongs to space group F-43m (No. 216); the cell edges are 7.1135, 7.1135 and 7.1135 Å and the angles 90.00°, 90.00° and 90.00°. The distinct sites, in fractional coordinates, are Y at (0.0000, 0.0000, 0.0000), Y at (0.2500, 0.2500, 0.2500), Zr at (0.2500, 0.2500, 0.7500) and Co at (0.0000, 0.0000, 0.5000).